TbNiH3 after structural relaxation, computed with GGA-PBE.

## Properties
DFT total energy: -22.846 eV for the cell shown
Volume: 44.1 Å³/cell
DOS at the Fermi energy: 0.402 states/eV per atom

Unit cell a=3.534 b=3.534 c=3.534 alpha=90.00 beta=90.00 gamma=90.00
Space group Pm-3m (No. 221)
Symmetry-distinct sites (fractional):
Tb 0.000 0.000 0.000 [1 per cell]
Ni 0.500 0.500 0.500 [1 per cell]
H 0.000 0.500 0.500 [3 per cell]